Entry 1:
Compound: LaYAs2Rh5
Source: Alexandria via LeMat-Bulk
Functional: PBE
Structure: optimized geometry

Calculated values
Its formation energy is -0.5961 eV per atom.

Structure (POSCAR):
```
LaYAs2Rh5
1.0
4.0827 0.0000 0.0000
0.0000 4.0827 0.0000
0.0000 0.0000 11.3556
La Y As Rh
1 1 2 5
direct
0.0000 0.0000 0.0000
0.0000 0.0000 0.5000
0.5000 0.5000 0.2109
0.5000 0.5000 0.7891
0.0000 0.5000 0.3176
0.0000 0.5000 0.6824
0.5000 0.0000 0.3176
0.5000 0.0000 0.6824
0.5000 0.5000 0.0000
```

Entry 2:
Compound: LaGaSiPd6
Source: Alexandria via LeMat-Bulk
Functional: PBE
Structure: optimized geometry

Calculated values
For the uncorrected formation energy, the calculation gives -0.46 eV per atom.

Structure (POSCAR):
```
LaGaSiPd6
1.0
-3.2665 4.6029 5.6962
3.2665 -4.6029 5.6962
3.2665 4.6029 -5.6962
La Ga Si Pd
2 2 2 12
direct
0.4202 0.1702 0.2500
0.5798 0.8298 0.7500
0.0000 0.0000 0.5000
0.0000 0.5000 0.0000
0.0000 0.5000 0.5000
0.5000 0.5000 0.0000
0.1194 0.3604 0.2215
0.1194 0.8979 0.7590
0.1682 0.9182 0.2500
0.3154 0.5654 0.7500
0.3611 0.1021 0.7215
0.3611 0.6396 0.2590
0.6389 0.3604 0.7410
0.6389 0.8979 0.2785
0.6846 0.4346 0.2500
0.8318 0.0818 0.7500
0.8806 0.1021 0.2410
0.8806 0.6396 0.7785
```

Entry 3:
Compound: PrY6HoTm2
Source: Alexandria via LeMat-Bulk
Functional: PBE
Structure: optimized geometry

Calculated values
Its formation energy is 0.1197 eV per atom.

Structure (POSCAR):
```
PrY6HoTm2
1.0
4.6196 -7.4897 0.0000
4.6196 7.4897 0.0000
-0.9746 0.0000 9.4083
Pr Y Ho Tm
2 12 2 4
direct
0.0316 0.9684 0.7500
0.9684 0.0316 0.2500
0.0092 0.5584 0.6818
0.1184 0.7586 0.0570
0.2414 0.8816 0.4430
0.2929 0.5174 0.8874
0.4416 0.9908 0.8182
0.4826 0.7071 0.6126
0.5174 0.2929 0.3874
0.5584 0.0092 0.1818
0.7071 0.4826 0.1126
0.7586 0.1184 0.5570
0.8816 0.2414 0.9430
0.9908 0.4416 0.3182
0.4116 0.5884 0.2500
0.5884 0.4116 0.7500
0.2011 0.3035 0.5521
0.3035 0.2011 0.0521
0.6965 0.7989 0.9479
0.7989 0.6965 0.4479
```